1.
! LaTa3 (GGA-PBE, relaxed); values from VASP
! Symmetry   P-6m2
! Formation energy from the elements   525 meV per atom
! Density   13.46 g/cm³
! Energy   -38.384 eV per cell
! Crystal system   hexagonal
&SYSTEM
  ibrav = 0, nat = 4, ntyp = 2
/
ATOMIC_SPECIES
La 138.91 La.upf
Ta 180.95 Ta.upf
CELL_PARAMETERS angstrom
2.9990 0.0000 0.0000
-1.4995 2.5972 0.0000
0.0000 0.0000 10.8013
ATOMIC_POSITIONS crystal
La 0.0000 0.0000 0.0000
Ta 0.3333 0.6667 0.7298
Ta 0.3333 0.6667 0.2702
Ta 0.0000 0.0000 0.5000


2.
! LaTa3 (GGA-PBE, relaxed); values from VASP
! Symmetry   Pm-3m
! Formation energy from the elements   3232 meV per atom
! Density   9.26 g/cm³
! Energy   -27.557 eV per cell
! Crystal system   cubic
&SYSTEM
  ibrav = 0, nat = 4, ntyp = 2
/
ATOMIC_SPECIES
Ta 180.95 Ta.upf
La 138.91 La.upf
CELL_PARAMETERS angstrom
-0.0674 3.7041 -3.3030
-3.9262 -2.0603 -2.2305
-3.0357 2.5825 2.9581
ATOMIC_POSITIONS crystal
Ta 0.0000 0.0000 0.5000
Ta 0.0000 0.5000 0.0000
Ta 0.5000 0.0000 0.0000
La 0.0000 0.0000 0.0000


3.
! LaTa2 (GGA-PBE, relaxed); values from VASP
! Symmetry   C2/m
! Formation energy from the elements   311 meV per atom
! E above lowest polymorph   0.000 eV per atom
! Density   11.82 g/cm³
! Energy   -55.402 eV per cell
! Crystal system   monoclinic
&SYSTEM
  ibrav = 0, nat = 6, ntyp = 2
/
ATOMIC_SPECIES
Ta 180.95 Ta.upf
La 138.91 La.upf
CELL_PARAMETERS angstrom
-1.3904 -5.1848 -1.5202
1.8156 -5.2574 -0.4357
-2.3835 -4.0771 6.7737
ATOMIC_POSITIONS crystal
Ta 0.0055 0.0055 0.8176
Ta 0.3379 0.3379 0.0588
Ta 0.9945 0.9945 0.1824
Ta 0.6621 0.6621 0.9412
La 0.6505 0.6505 0.4047
La 0.3495 0.3495 0.5953


4.
! LaTa3 (GGA-PBE, relaxed); values from VASP
! Symmetry   P4/mmm
! Formation energy from the elements   601 meV per atom
! Density   13.70 g/cm³
! Energy   -38.081 eV per cell
! Crystal system   tetragonal
&SYSTEM
  ibrav = 0, nat = 4, ntyp = 2
/
ATOMIC_SPECIES
Ta 180.95 Ta.upf
La 138.91 La.upf
CELL_PARAMETERS angstrom
-0.1150 -4.8505 1.3029
4.6709 0.3757 1.8109
-1.2030 0.8165 2.9336
ATOMIC_POSITIONS crystal
Ta 0.5000 0.5000 0.0000
Ta 0.0000 0.5000 0.5000
Ta 0.5000 0.0000 0.5000
La 0.0000 0.0000 0.0000


5.
! LaTa3 (GGA-PBE, relaxed); values from VASP
! Symmetry   Pmmn
! Formation energy from the elements   471 meV per atom
! Density   11.94 g/cm³
! Energy   -77.203 eV per cell
! Crystal system   orthorhombic
&SYSTEM
  ibrav = 0, nat = 8, ntyp = 2
/
ATOMIC_SPECIES
La 138.91 La.upf
Ta 180.95 Ta.upf
CELL_PARAMETERS angstrom
-2.2855 0.1300 -4.3005
-4.4092 -3.1631 2.2476
-3.0829 5.5814 1.8072
ATOMIC_POSITIONS crystal
La 0.5000 0.5000 0.5894
La 0.0000 0.0000 0.4106
Ta 0.0000 0.7541 0.8832
Ta 0.5000 0.2541 0.1168
Ta 0.0000 0.2459 0.8832
Ta 0.0000 0.5000 0.2296
Ta 0.5000 0.0000 0.7704
Ta 0.5000 0.7459 0.1168


6.
! La5Ta (GGA-PBE, relaxed); values from VASP
! Symmetry   C2/m
! Formation energy from the elements   250 meV per atom
! E above lowest polymorph   0.000 eV per atom
! Density   7.54 g/cm³
! Energy   -34.990 eV per cell
! Crystal system   monoclinic
&SYSTEM
  ibrav = 0, nat = 6, ntyp = 2
/
ATOMIC_SPECIES
La 138.91 La.upf
Ta 180.95 Ta.upf
CELL_PARAMETERS angstrom
1.7525 7.8311 -0.2145
-1.7525 7.8311 -0.2145
0.0000 1.8496 6.9699
ATOMIC_POSITIONS crystal
La 0.3482 0.3482 0.8101
La 0.3453 0.3453 0.2616
La 0.6945 0.6945 0.6110
La 0.0406 0.0406 0.4122
La 0.0437 0.0437 0.9604
Ta 0.6944 0.6944 0.1113


Please write out number 2 again, unchanged.
! LaTa3 (GGA-PBE, relaxed); values from VASP
! Symmetry   Pm-3m
! Formation energy from the elements   3232 meV per atom
! Density   9.26 g/cm³
! Energy   -27.557 eV per cell
! Crystal system   cubic
&SYSTEM
  ibrav = 0, nat = 4, ntyp = 2
/
ATOMIC_SPECIES
Ta 180.95 Ta.upf
La 138.91 La.upf
CELL_PARAMETERS angstrom
-0.0674 3.7041 -3.3030
-3.9262 -2.0603 -2.2305
-3.0357 2.5825 2.9581
ATOMIC_POSITIONS crystal
Ta 0.0000 0.0000 0.5000
Ta 0.0000 0.5000 0.0000
Ta 0.5000 0.0000 0.0000
La 0.0000 0.0000 0.0000


Look up the formation energy from the elements of the second one. 3232 meV per atom


The lowest energy belongs to which entry? number 5